The following is a DFT calculation (PBE) of a geometry-optimized Be3ReCl structure.

ΔE to the lowest computed polymorph = 0 meV per atom
E_form (uncorrected) = 1.243 eV/atom
Total moment = 0.0 Bohr magnetons per cell

Cell: 3.963 3.963 3.963 Å, 90.00 90.00 90.00°
Space group Pm-3m (No. 221)
Unique sites:
Be  0.000  0.000  0.500 x3
Re  0.500  0.500  0.500 x1
Cl  0.000  0.000  0.000 x1